1.
This record from Alexandria via LeMat-Bulk describes crystalline CrPb3F at its relaxed geometry. The functional is PBE+U.

Summary:
crystal system = cubic
size of the total moment = 4.84 μB/f.u.
density = 8.63 g cm⁻³
E above lowest polymorph = 0 meV/atom

Unit cell a=5.1072 b=5.1072 c=5.1072 alpha=90.00 beta=90.00 gamma=90.00
With the nearest neighbours (Å) after each atom.
Space group Pm-3m (No. 221)
Unique sites:
Cr 0.0000 0.0000 0.0000 [1 per cell]  12 Pb 3.61
Pb 0.0000 0.5000 0.5000 [3 per cell]  2 F 2.55
F 0.5000 0.5000 0.5000 [1 per cell]  6 Pb 2.55

2.
This record from Alexandria via LeMat-Bulk describes crystalline CrPbF3 at its relaxed geometry. The functional is PBE+U.

Summary:
crystal system = cubic
size of the total moment = 5.00 μB/f.u.
density = 4.80 g cm⁻³
E above lowest polymorph = 528 meV/atom

Unit cell a=4.7838 b=4.7838 c=4.7838 alpha=90.00 beta=90.00 gamma=90.00
With the nearest neighbours (Å) after each atom.
Space group Pm-3m (No. 221)
Unique sites:
Cr 0.0000 0.0000 0.0000 [1 per cell]  12 F 3.38
Pb 0.5000 0.5000 0.5000 [1 per cell]  6 F 2.39
F 0.0000 0.5000 0.5000 [3 per cell]  2 Pb 2.39

Which formula does entry 2 have? CrPbF3

What is the formula in the second record? CrPbF3

Which value of density does entry 2 give? 4.80 g cm⁻³

What is the density in the first record? 8.63 g cm⁻³